K2Pd2RuO6 | PBE | relaxed

Output
raw total energy = -122.10 eV per cell
total moment = 0.1 μB per formula unit

```
data_K2Pd2RuO6
_symmetry_space_group_name_H-M 'C 1 2/m 1'
_symmetry_Int_Tables_number 12
_cell_length_a 5.576
_cell_length_b 9.539
_cell_length_c 6.309
_cell_angle_alpha 90.00
_cell_angle_beta 107.74
_cell_angle_gamma 90.00
loop_
_symmetry_equiv_pos_as_xyz
'x,y,z'
'-x,-y,-z'
'-x,y,-z'
'x,-y,z'
'x+1/2,y+1/2,z'
'-x+1/2,-y+1/2,-z'
'-x+1/2,y+1/2,-z'
'x+1/2,-y+1/2,z'
loop_
_atom_site_label
_atom_site_fract_x
_atom_site_fract_y
_atom_site_fract_z
K1 0.000 0.170 0.000
Pd1 0.000 0.334 0.500
Ru1 0.000 0.000 0.500
O1 0.217 0.162 0.666
O2 0.235 0.500 0.666
```

K2PdRuO4 | PBE | relaxed

Output
raw total energy = -87.99 eV per cell
total moment = 0.0 μB per formula unit

```
data_K2PdRuO4
_symmetry_space_group_name_H-M 'I -4'
_symmetry_Int_Tables_number 82
_cell_length_a 6.278
_cell_length_b 6.278
_cell_length_c 6.860
_cell_angle_alpha 90.00
_cell_angle_beta 90.00
_cell_angle_gamma 90.00
loop_
_symmetry_equiv_pos_as_xyz
'x,y,z'
'y,-x,-z'
'-x,-y,z'
'-y,x,-z'
'x+1/2,y+1/2,z+1/2'
'y+1/2,-x+1/2,-z+1/2'
'-x+1/2,-y+1/2,z+1/2'
'-y+1/2,x+1/2,-z+1/2'
loop_
_atom_site_label
_atom_site_fract_x
_atom_site_fract_y
_atom_site_fract_z
K1 0.000 0.000 0.000
K2 0.000 0.500 0.250
Pd1 0.000 0.000 0.500
Ru1 0.000 0.500 0.750
O1 0.143 0.708 0.605
```

KPdRu2O8 | PBE | relaxed

Output
raw total energy = -149.26 eV per cell
total moment = 0.0 μB per formula unit

```
data_KPdRu2O8
_symmetry_space_group_name_H-M 'C 1 2/m 1'
_symmetry_Int_Tables_number 12
_cell_length_a 8.230
_cell_length_b 6.290
_cell_length_c 7.179
_cell_angle_alpha 90.00
_cell_angle_beta 110.11
_cell_angle_gamma 90.00
loop_
_symmetry_equiv_pos_as_xyz
'x,y,z'
'-x,-y,-z'
'-x,y,-z'
'x,-y,z'
'x+1/2,y+1/2,z'
'-x+1/2,-y+1/2,-z'
'-x+1/2,y+1/2,-z'
'x+1/2,-y+1/2,z'
loop_
_atom_site_label
_atom_site_fract_x
_atom_site_fract_y
_atom_site_fract_z
K1 0.000 0.000 0.000
Pd1 0.000 0.000 0.500
Ru1 0.052 0.500 0.244
O1 0.045 0.257 0.722
O2 0.159 0.500 0.061
O3 0.248 0.500 0.465
```